Here is a relaxed structure of LaHoAg3 from the Alexandria database. Energies are from PBE.

## Properties
spin magnetization	0.00	μB per cell
DOS(E_F)	4.59	states/eV/f.u.
calculated formation energy	-1.394	eV per formula unit

a = 3.643 Å, b = 4.834 Å, c = 14.186 Å
α = 90.00°, β = 97.38°, γ = 90.00°
Atoms (fractional coordinates):
La 0.924 0.750 0.848
La 0.076 0.250 0.152
Ho 0.210 0.750 0.420
Ho 0.790 0.250 0.580
Ag 0.624 0.750 0.248
Ag 0.376 0.250 0.752
Ag 0.525 0.750 0.049
Ag 0.475 0.250 0.951
Ag 0.681 0.250 0.362
Ag 0.319 0.750 0.638